The following is a PBE calculation of a geometry-optimized Rb2CoOs structure, from the Alexandria database.

Structure (CIF):
```
data_Rb2CoOs
_symmetry_space_group_name_H-M 'P 1'
_symmetry_Int_Tables_number 1
_cell_length_a 9.349
_cell_length_b 9.349
_cell_length_c 9.349
_cell_angle_alpha 93.20
_cell_angle_beta 93.20
_cell_angle_gamma 152.66
loop_
_symmetry_equiv_pos_as_xyz
'x,y,z'
loop_
_atom_site_label
_atom_site_type_symbol
_atom_site_fract_x
_atom_site_fract_y
_atom_site_fract_z
Rb1 Rb 0.375 0.180 0.305
Rb2 Rb 0.820 0.125 0.195
Rb3 Rb 0.875 0.070 0.695
Rb4 Rb 0.930 0.625 0.805
Co1 Co 0.000 0.000 0.000
Co2 Co 0.750 0.250 0.500
Os1 Os 0.250 0.750 0.500
Os2 Os 0.500 0.500 0.000
```

## Properties
* energy relative to the elements: 1.307 eV per atom
* relative energy among the computed polymorphs: 0 meV per atom

The following is a PBE calculation of a geometry-optimized NaH2Au structure, from the Alexandria database.

Structure (CIF):
```
data_NaH2Au
_symmetry_space_group_name_H-M 'P 1'
_symmetry_Int_Tables_number 1
_cell_length_a 4.028
_cell_length_b 4.028
_cell_length_c 4.028
_cell_angle_alpha 60.00
_cell_angle_beta 60.00
_cell_angle_gamma 60.00
loop_
_symmetry_equiv_pos_as_xyz
'x,y,z'
loop_
_atom_site_label
_atom_site_type_symbol
_atom_site_fract_x
_atom_site_fract_y
_atom_site_fract_z
Na1 Na 0.000 0.000 0.000
H1 H 0.250 0.250 0.250
H2 H 0.750 0.750 0.750
Au1 Au 0.500 0.500 0.500
```

## Properties
* relative energy among the computed polymorphs: 639 meV per atom

The following is a PBE calculation of a geometry-optimized NaLiRuF6 structure, from the Alexandria database.

Structure (CIF):
```
data_NaLiRuF6
_symmetry_space_group_name_H-M 'P 1'
_symmetry_Int_Tables_number 1
_cell_length_a 5.271
_cell_length_b 5.271
_cell_length_c 9.955
_cell_angle_alpha 90.00
_cell_angle_beta 90.00
_cell_angle_gamma 120.00
loop_
_symmetry_equiv_pos_as_xyz
'x,y,z'
loop_
_atom_site_label
_atom_site_type_symbol
_atom_site_fract_x
_atom_site_fract_y
_atom_site_fract_z
Na1 Na 0.000 0.000 0.000
Na2 Na 0.000 0.000 0.500
Li1 Li 0.333 0.667 0.250
Li2 Li 0.667 0.333 0.750
Ru1 Ru 0.333 0.667 0.750
Ru2 Ru 0.667 0.333 0.250
F1 F 0.016 0.365 0.642
F2 F 0.016 0.651 0.858
F3 F 0.349 0.365 0.858
F4 F 0.349 0.984 0.642
F5 F 0.365 0.016 0.142
F6 F 0.365 0.349 0.358
F7 F 0.635 0.651 0.642
F8 F 0.635 0.984 0.858
F9 F 0.651 0.016 0.358
F10 F 0.651 0.635 0.142
F11 F 0.984 0.349 0.142
F12 F 0.984 0.635 0.358
```

## Properties
* E_form (uncorrected): -2.29 eV per atom

The following is a PBE calculation of a geometry-optimized Zn2OsRh structure, from the Alexandria database.

Structure (CIF):
```
data_Zn2OsRh
_symmetry_space_group_name_H-M 'P 1'
_symmetry_Int_Tables_number 1
_cell_length_a 2.714
_cell_length_b 2.714
_cell_length_c 8.666
_cell_angle_alpha 90.00
_cell_angle_beta 90.00
_cell_angle_gamma 116.59
loop_
_symmetry_equiv_pos_as_xyz
'x,y,z'
loop_
_atom_site_label
_atom_site_type_symbol
_atom_site_fract_x
_atom_site_fract_y
_atom_site_fract_z
Zn1 Zn 0.000 0.000 0.245
Zn2 Zn 0.000 0.000 0.755
Os1 Os 0.500 0.500 0.500
Rh1 Rh 0.500 0.500 0.000
```

## Properties
* energy relative to the elements: 0.053 eV per atom
* relative energy among the computed polymorphs: 64 meV per atom

| no. | calculated volume (Å³ per atom) |
| --- | --- |
| 1 | 45.6 |
| 2 | 11.6 |
| 3 | 13.3 |
| 4 | 14.3 |